Record 1
First-principles (PBE-GGA) data for a relaxed structure of Hg2IrS, as listed in Alexandria via LeMat-Bulk.

The space group is I-42d (No. 122) and the conventional cell measures 7.625, 7.625 and 5.506 Å, with angles of 90.00, 90.00 and 90.00 degrees. The inequivalent atoms are Hg at (0.250, 0.250, 0.125), Ir at (0.000, 0.000, 0.000) and S at (0.000, 0.000, 0.500).

The total moment comes out at 0.00 μB per formula unit. The final energy comes out at -2.721 eV per atom. For the formation energy from raw total energies, the calculation gives 0.68 eV/atom.

=====

Record 2
First-principles (PBE-GGA) data for a relaxed structure of CdMoPd3, as listed in Alexandria via LeMat-Bulk.

The space group is Pm-3m (No. 221) and the conventional cell measures 4.892, 4.892 and 4.892 Å, with angles of 90.00, 90.00 and 90.00 degrees. The inequivalent atoms are Cd at (0.000, 0.000, 0.000), Mo at (0.500, 0.500, 0.500) and Pd at (0.000, 0.000, 0.500).

The total moment comes out at 4.30 μB per formula unit. The calculation puts the energy of formation from the pure elements at 1334 meV per atom. The final energy comes out at -4.131 eV per atom.

=====

Record 3
First-principles (PBE-GGA) data for a relaxed structure of CaFeCu, as listed in Alexandria via LeMat-Bulk.

The space group is P-6m2 (No. 187) and the conventional cell measures 4.1176, 4.1176 and 4.1248 Å, with angles of 90.00, 90.00 and 120.00 degrees. The inequivalent atoms are Ca at (0.0000, 0.0000, 0.0000), Fe at (0.6667, 0.3333, 0.5000) and Cu at (0.3333, 0.6667, 0.5000).

The total moment comes out at 2.69 μB per formula unit. The calculation puts the energy of formation from the pure elements at 303 meV per atom. The final energy comes out at -4.550 eV per atom.

=====

Which formula does entry 1 have?
Hg2IrS